Entry 1:
First-principles (PBE) data for a relaxed Nd8Ru3RhCl4 crystal, as listed in the Alexandria database.

```
data_Nd8Ru3RhCl4
_cell_length_a 14.0662
_cell_length_b 8.1239
_cell_length_c 8.9463
_cell_angle_alpha 90.00
_cell_angle_beta 121.65
_cell_angle_gamma 90.00
_space_group_name_H-M_alt 'C 1 2/m 1'
_space_group_IT_number 12
loop_
_space_group_symop_operation_xyz
'x,y,z'
'-x,-y,-z'
'-x,y,-z'
'x,-y,z'
'x+1/2,y+1/2,z'
'-x+1/2,-y+1/2,-z'
'-x+1/2,y+1/2,-z'
'x+1/2,-y+1/2,z'
loop_
_atom_site_label
_atom_site_type_symbol
_atom_site_fract_x
_atom_site_fract_y
_atom_site_fract_z
Nd1 Nd 0.0159 0.2464 0.2946
Nd2 Nd 0.2360 0.0000 0.7074
Nd3 Nd 0.2376 0.5000 0.7054
Ru1 Ru 0.0000 0.0000 0.5000
Ru2 Ru 0.2500 0.2500 0.5000
Rh1 Rh 0.0000 0.5000 0.5000
Cl1 Cl 0.0000 0.0000 0.0000
Cl2 Cl 0.0000 0.5000 0.0000
Cl3 Cl 0.2500 0.2500 0.0000
```

Properties
Raw formation energy (eV per formula unit): -15.06

=====

Entry 2:
First-principles (PBE) data for a relaxed Nd6Ru2RhCl3 crystal, as listed in the Alexandria database.

```
data_Nd6Ru2RhCl3
_cell_length_a 7.0264
_cell_length_b 12.1755
_cell_length_c 7.9812
_cell_angle_alpha 90.00
_cell_angle_beta 107.07
_cell_angle_gamma 90.00
_space_group_name_H-M_alt 'C 1 2/m 1'
_space_group_IT_number 12
loop_
_space_group_symop_operation_xyz
'x,y,z'
'-x,-y,-z'
'-x,y,-z'
'x,-y,z'
'x+1/2,y+1/2,z'
'-x+1/2,-y+1/2,-z'
'-x+1/2,y+1/2,-z'
'x+1/2,-y+1/2,z'
loop_
_atom_site_label
_atom_site_type_symbol
_atom_site_fract_x
_atom_site_fract_y
_atom_site_fract_z
Nd1 Nd 0.2303 0.0000 0.2064
Nd2 Nd 0.2377 0.3308 0.2060
Ru1 Ru 0.0000 0.1662 0.0000
Rh1 Rh 0.0000 0.5000 0.0000
Cl1 Cl 0.0000 0.0000 0.5000
Cl2 Cl 0.0000 0.3301 0.5000
```

Properties
Raw formation energy (eV per formula unit): -11.67

=====

Entry 3:
First-principles (PBE) data for a relaxed Nd4RhS2Cl crystal, as listed in the Alexandria database.

```
data_Nd4RhS2Cl
_cell_length_a 7.1727
_cell_length_b 4.0066
_cell_length_c 7.2568
_cell_angle_alpha 90.00
_cell_angle_beta 108.55
_cell_angle_gamma 90.00
_space_group_name_H-M_alt 'P 1 2/m 1'
_space_group_IT_number 10
loop_
_space_group_symop_operation_xyz
'x,y,z'
'-x,-y,-z'
'-x,y,-z'
'x,-y,z'
loop_
_atom_site_label
_atom_site_type_symbol
_atom_site_fract_x
_atom_site_fract_y
_atom_site_fract_z
Nd1 Nd 0.2351 0.0000 0.2342
Nd2 Nd 0.2366 0.5000 0.7480
Rh1 Rh 0.0000 0.0000 0.5000
S1 S 0.0000 0.5000 0.0000
S2 S 0.5000 0.0000 0.0000
Cl1 Cl 0.5000 0.5000 0.5000
```

Properties
Raw formation energy (eV per formula unit): -12.16

=====

Entry 4:
First-principles (PBE) data for a relaxed Nd4RhSe2Cl crystal, as listed in the Alexandria database.

```
data_Nd4RhSe2Cl
_cell_length_a 7.3116
_cell_length_b 4.0995
_cell_length_c 7.4348
_cell_angle_alpha 90.00
_cell_angle_beta 108.76
_cell_angle_gamma 90.00
_space_group_name_H-M_alt 'P 1 2/m 1'
_space_group_IT_number 10
loop_
_space_group_symop_operation_xyz
'x,y,z'
'-x,-y,-z'
'-x,y,-z'
'x,-y,z'
loop_
_atom_site_label
_atom_site_type_symbol
_atom_site_fract_x
_atom_site_fract_y
_atom_site_fract_z
Nd1 Nd 0.2283 0.0000 0.2326
Nd2 Nd 0.2395 0.5000 0.7484
Rh1 Rh 0.0000 0.5000 0.0000
Se1 Se 0.0000 0.0000 0.5000
Se2 Se 0.5000 0.5000 0.5000
Cl1 Cl 0.5000 0.0000 0.0000
```

Properties
Raw formation energy (eV per formula unit): -11.52

=====

Entry 5:
First-principles (PBE) data for a relaxed Nd6Si2RhCl3 crystal, as listed in the Alexandria database.

```
data_Nd6Si2RhCl3
_cell_length_a 18.4660
_cell_length_b 4.1654
_cell_length_c 8.6622
_cell_angle_alpha 90.00
_cell_angle_beta 103.05
_cell_angle_gamma 90.00
_space_group_name_H-M_alt 'C 1 2/m 1'
_space_group_IT_number 12
loop_
_space_group_symop_operation_xyz
'x,y,z'
'-x,-y,-z'
'-x,y,-z'
'x,-y,z'
'x+1/2,y+1/2,z'
'-x+1/2,-y+1/2,-z'
'-x+1/2,y+1/2,-z'
'x+1/2,-y+1/2,z'
loop_
_atom_site_label
_atom_site_type_symbol
_atom_site_fract_x
_atom_site_fract_y
_atom_site_fract_z
Nd1 Nd 0.0047 0.0000 0.2306
Nd2 Nd 0.1561 0.5000 0.1005
Nd3 Nd 0.1724 0.5000 0.5745
Si1 Si 0.1651 0.0000 0.3393
Rh1 Rh 0.0000 0.5000 0.0000
Cl1 Cl 0.0000 0.5000 0.5000
Cl2 Cl 0.1740 0.0000 0.8397
```

Properties
Raw formation energy (eV per formula unit): -13.67

=====

Entry 6:
First-principles (PBE) data for a relaxed Nd4SiRhCl2 crystal, as listed in the Alexandria database.

```
data_Nd4SiRhCl2
_cell_length_a 7.4709
_cell_length_b 4.1046
_cell_length_c 7.4961
_cell_angle_alpha 90.00
_cell_angle_beta 107.48
_cell_angle_gamma 90.00
_space_group_name_H-M_alt 'P 1 2/m 1'
_space_group_IT_number 10
loop_
_space_group_symop_operation_xyz
'x,y,z'
'-x,-y,-z'
'-x,y,-z'
'x,-y,z'
loop_
_atom_site_label
_atom_site_type_symbol
_atom_site_fract_x
_atom_site_fract_y
_atom_site_fract_z
Nd1 Nd 0.2122 0.0000 0.2304
Nd2 Nd 0.2170 0.5000 0.7475
Si1 Si 0.0000 0.0000 0.5000
Rh1 Rh 0.0000 0.5000 0.0000
Cl1 Cl 0.5000 0.0000 0.0000
Cl2 Cl 0.5000 0.5000 0.5000
```

Properties
Raw formation energy (eV per formula unit): -8.90

=====

Entry 7:
First-principles (PBE) data for a relaxed Nd6SiRh2Cl3 crystal, as listed in the Alexandria database.

```
data_Nd6SiRh2Cl3
_cell_length_a 7.2211
_cell_length_b 12.5213
_cell_length_c 7.7230
_cell_angle_alpha 90.00
_cell_angle_beta 108.20
_cell_angle_gamma 90.00
_space_group_name_H-M_alt 'C 1 2/m 1'
_space_group_IT_number 12
loop_
_space_group_symop_operation_xyz
'x,y,z'
'-x,-y,-z'
'-x,y,-z'
'x,-y,z'
'x+1/2,y+1/2,z'
'-x+1/2,-y+1/2,-z'
'-x+1/2,y+1/2,-z'
'x+1/2,-y+1/2,z'
loop_
_atom_site_label
_atom_site_type_symbol
_atom_site_fract_x
_atom_site_fract_y
_atom_site_fract_z
Nd1 Nd 0.2257 0.0000 0.2118
Nd2 Nd 0.2420 0.3278 0.2122
Si1 Si 0.0000 0.5000 0.0000
Rh1 Rh 0.0000 0.1672 0.0000
Cl1 Cl 0.0000 0.0000 0.5000
Cl2 Cl 0.0000 0.3403 0.5000
```

Properties
Raw formation energy (eV per formula unit): -13.30

=====

Entry 8:
First-principles (PBE) data for a relaxed Nd8SiRh3Cl4 crystal, as listed in the Alexandria database.

```
data_Nd8SiRh3Cl4
_cell_length_a 8.3211
_cell_length_b 8.3211
_cell_length_c 22.1814
_cell_angle_alpha 90.00
_cell_angle_beta 90.00
_cell_angle_gamma 120.00
_space_group_name_H-M_alt 'R -3 m'
_space_group_IT_number 166
_space_group_name_Hall '-R 3 2"'
loop_
_atom_site_label
_atom_site_type_symbol
_atom_site_fract_x
_atom_site_fract_y
_atom_site_fract_z
Nd1 Nd 0.0000 0.0000 0.2369
Nd2 Nd 0.0095 0.5048 0.7639
Si1 Si 0.0000 0.0000 0.5000
Rh1 Rh 0.0000 0.5000 0.5000
Cl1 Cl 0.0000 0.0000 0.0000
Cl2 Cl 0.0000 0.5000 0.0000
```

Properties
Raw formation energy (eV per formula unit): -17.79

=====

Entry 9:
First-principles (PBE) data for a relaxed NdThRhCl crystal, as listed in the Alexandria database.

```
data_NdThRhCl
_cell_length_a 4.1140
_cell_length_b 4.1140
_cell_length_c 23.1944
_cell_angle_alpha 90.00
_cell_angle_beta 90.00
_cell_angle_gamma 120.00
_space_group_name_H-M_alt 'R 3 m'
_space_group_IT_number 160
_space_group_name_Hall 'R 3 -2"'
loop_
_atom_site_label
_atom_site_type_symbol
_atom_site_fract_x
_atom_site_fract_y
_atom_site_fract_z
Nd1 Nd 0.0000 0.0000 0.0000
Th1 Th 0.0000 0.0000 0.2012
Rh1 Rh 0.0000 0.0000 0.5947
Cl1 Cl 0.0000 0.0000 0.7667
```

Properties
Raw formation energy (eV per formula unit): -4.33

=====

Entry 10:
First-principles (PBE) data for a relaxed Nd3Ru2Cl crystal, as listed in the Alexandria database.

```
data_Nd3Ru2Cl
_cell_length_a 3.4519
_cell_length_b 3.4519
_cell_length_c 11.7544
_cell_angle_alpha 90.00
_cell_angle_beta 90.00
_cell_angle_gamma 90.00
_space_group_name_H-M_alt 'P 4/m m m'
_space_group_IT_number 123
_space_group_name_Hall '-P 4 2'
loop_
_atom_site_label
_atom_site_type_symbol
_atom_site_fract_x
_atom_site_fract_y
_atom_site_fract_z
Nd1 Nd 0.0000 0.0000 0.0000
Nd2 Nd 0.0000 0.0000 0.3030
Ru1 Ru 0.5000 0.5000 0.1602
Cl1 Cl 0.5000 0.5000 0.5000
```

Properties
Raw formation energy (eV per formula unit): -3.73

=====

Entry 11:
First-principles (PBE) data for a relaxed Nd3RuCl2 crystal, as listed in the Alexandria database.

```
data_Nd3RuCl2
_cell_length_a 3.9417
_cell_length_b 5.8443
_cell_length_c 14.1859
_cell_angle_alpha 90.00
_cell_angle_beta 90.00
_cell_angle_gamma 90.00
_space_group_name_H-M_alt 'I m m m'
_space_group_IT_number 71
_space_group_name_Hall '-I 2 2'
loop_
_atom_site_label
_atom_site_type_symbol
_atom_site_fract_x
_atom_site_fract_y
_atom_site_fract_z
Nd1 Nd 0.0000 0.0000 0.0000
Nd2 Nd 0.0000 0.0000 0.3651
Ru1 Ru 0.0000 0.5000 0.0000
Cl1 Cl 0.0000 0.5000 0.3210
```

Properties
Raw formation energy (eV per formula unit): -6.38
Polymorph energy (0 for the lowest one) (meV per atom): 0

=====

Entry 12:
First-principles (PBE) data for a relaxed Nd3RuCl2 crystal, as listed in the Alexandria database.

```
data_Nd3RuCl2
_cell_length_a 7.8286
_cell_length_b 12.4016
_cell_length_c 7.0085
_cell_angle_alpha 90.00
_cell_angle_beta 109.26
_cell_angle_gamma 90.00
_space_group_name_H-M_alt 'C 1 2/c 1'
_space_group_IT_number 15
loop_
_space_group_symop_operation_xyz
'x,y,z'
'-x,-y,-z'
'-x,y,-z+1/2'
'x,-y,z+1/2'
'x+1/2,y+1/2,z'
'-x+1/2,-y+1/2,-z'
'-x+1/2,y+1/2,-z+1/2'
'x+1/2,-y+1/2,z+1/2'
loop_
_atom_site_label
_atom_site_type_symbol
_atom_site_fract_x
_atom_site_fract_y
_atom_site_fract_z
Nd1 Nd 0.2022 0.0747 0.4990
Nd2 Nd 0.2500 0.2500 0.0000
Ru1 Ru 0.0000 0.0944 0.7500
Cl1 Cl 0.0000 0.2672 0.2500
Cl2 Cl 0.0000 0.4272 0.7500
```

Properties
Raw formation energy (eV per formula unit): -6.34
Polymorph energy (0 for the lowest one) (meV per atom): 7

=====

Entry 13:
First-principles (PBE) data for a relaxed Nd4Ru2Cl3 crystal, as listed in the Alexandria database.

```
data_Nd4Ru2Cl3
_cell_length_a 7.0622
_cell_length_b 4.0747
_cell_length_c 17.9477
_cell_angle_alpha 90.00
_cell_angle_beta 90.05
_cell_angle_gamma 90.00
_space_group_name_H-M_alt 'C 1 2/m 1'
_space_group_IT_number 12
loop_
_space_group_symop_operation_xyz
'x,y,z'
'-x,-y,-z'
'-x,y,-z'
'x,-y,z'
'x+1/2,y+1/2,z'
'-x+1/2,-y+1/2,-z'
'-x+1/2,y+1/2,-z'
'x+1/2,-y+1/2,z'
loop_
_atom_site_label
_atom_site_type_symbol
_atom_site_fract_x
_atom_site_fract_y
_atom_site_fract_z
Nd1 Nd 0.0008 0.0000 0.3050
Nd2 Nd 0.1660 0.5000 0.8749
Ru1 Ru 0.1673 0.5000 0.2095
Cl1 Cl 0.0000 0.0000 0.0000
Cl2 Cl 0.1658 0.5000 0.5982
```

Properties
Raw formation energy (eV per formula unit): -9.18

=====

Entry 14:
First-principles (PBE) data for a relaxed Nd3RuSCl crystal, as listed in the Alexandria database.

```
data_Nd3RuSCl
_cell_length_a 7.6139
_cell_length_b 4.0931
_cell_length_c 10.2698
_cell_angle_alpha 90.00
_cell_angle_beta 92.44
_cell_angle_gamma 90.00
_space_group_name_H-M_alt 'P 1 21/m 1'
_space_group_IT_number 11
loop_
_space_group_symop_operation_xyz
'x,y,z'
'-x,-y,-z'
'-x,y+1/2,-z'
'x,-y+1/2,z'
loop_
_atom_site_label
_atom_site_type_symbol
_atom_site_fract_x
_atom_site_fract_y
_atom_site_fract_z
Nd1 Nd 0.0623 0.2500 0.2131
Nd2 Nd 0.2573 0.7500 0.4968
Nd3 Nd 0.3802 0.2500 0.7985
Ru1 Ru 0.0838 0.2500 0.6426
S1 S 0.4237 0.2500 0.3223
Cl1 Cl 0.2560 0.7500 0.9905
```

Properties
Raw formation energy (eV per formula unit): -7.27

=====

Entry 15:
First-principles (PBE) data for a relaxed Nd4RuS2Cl crystal, as listed in the Alexandria database.

```
data_Nd4RuS2Cl
_cell_length_a 7.2342
_cell_length_b 3.9958
_cell_length_c 7.2473
_cell_angle_alpha 90.00
_cell_angle_beta 107.29
_cell_angle_gamma 90.00
_space_group_name_H-M_alt 'P 1 2/m 1'
_space_group_IT_number 10
loop_
_space_group_symop_operation_xyz
'x,y,z'
'-x,-y,-z'
'-x,y,-z'
'x,-y,z'
loop_
_atom_site_label
_atom_site_type_symbol
_atom_site_fract_x
_atom_site_fract_y
_atom_site_fract_z
Nd1 Nd 0.2419 0.0000 0.2239
Nd2 Nd 0.2528 0.5000 0.7647
Ru1 Ru 0.5000 0.0000 0.0000
S1 S 0.0000 0.0000 0.5000
S2 S 0.0000 0.5000 0.0000
Cl1 Cl 0.5000 0.5000 0.5000
```

Properties
Raw formation energy (eV per formula unit): -10.93

=====

Entry 16:
First-principles (PBE) data for a relaxed Nd4RuSCl2 crystal, as listed in the Alexandria database.

```
data_Nd4RuSCl2
_cell_length_a 7.3560
_cell_length_b 4.0000
_cell_length_c 7.5257
_cell_angle_alpha 90.00
_cell_angle_beta 106.77
_cell_angle_gamma 90.00
_space_group_name_H-M_alt 'P 1 2/m 1'
_space_group_IT_number 10
loop_
_space_group_symop_operation_xyz
'x,y,z'
'-x,-y,-z'
'-x,y,-z'
'x,-y,z'
loop_
_atom_site_label
_atom_site_type_symbol
_atom_site_fract_x
_atom_site_fract_y
_atom_site_fract_z
Nd1 Nd 0.2248 0.0000 0.2113
Nd2 Nd 0.2570 0.5000 0.7901
Ru1 Ru 0.0000 0.5000 0.0000
S1 S 0.5000 0.0000 0.0000
Cl1 Cl 0.0000 0.0000 0.5000
Cl2 Cl 0.5000 0.5000 0.5000
```

Properties
Raw formation energy (eV per formula unit): -10.30

=====

Entry 17:
First-principles (PBE) data for a relaxed Nd6Si2RuCl3 crystal, as listed in the Alexandria database.

```
data_Nd6Si2RuCl3
_cell_length_a 18.6633
_cell_length_b 4.1557
_cell_length_c 8.7646
_cell_angle_alpha 90.00
_cell_angle_beta 104.57
_cell_angle_gamma 90.00
_space_group_name_H-M_alt 'C 1 2/m 1'
_space_group_IT_number 12
loop_
_space_group_symop_operation_xyz
'x,y,z'
'-x,-y,-z'
'-x,y,-z'
'x,-y,z'
'x+1/2,y+1/2,z'
'-x+1/2,-y+1/2,-z'
'-x+1/2,y+1/2,-z'
'x+1/2,-y+1/2,z'
loop_
_atom_site_label
_atom_site_type_symbol
_atom_site_fract_x
_atom_site_fract_y
_atom_site_fract_z
Nd1 Nd 0.0046 0.0000 0.2264
Nd2 Nd 0.1514 0.5000 0.0996
Nd3 Nd 0.1735 0.5000 0.5729
Si1 Si 0.1651 0.0000 0.3396
Ru1 Ru 0.0000 0.5000 0.0000
Cl1 Cl 0.0000 0.5000 0.5000
Cl2 Cl 0.1737 0.0000 0.8375
```

Properties
Raw formation energy (eV per formula unit): -12.73

=====

Entry 18:
First-principles (PBE) data for a relaxed Nd6SiRu2Cl3 crystal, as listed in the Alexandria database.

```
data_Nd6SiRu2Cl3
_cell_length_a 7.1840
_cell_length_b 12.4751
_cell_length_c 7.8036
_cell_angle_alpha 90.00
_cell_angle_beta 107.95
_cell_angle_gamma 90.00
_space_group_name_H-M_alt 'C 1 2/m 1'
_space_group_IT_number 12
loop_
_space_group_symop_operation_xyz
'x,y,z'
'-x,-y,-z'
'-x,y,-z'
'x,-y,z'
'x+1/2,y+1/2,z'
'-x+1/2,-y+1/2,-z'
'-x+1/2,y+1/2,-z'
'x+1/2,-y+1/2,z'
loop_
_atom_site_label
_atom_site_type_symbol
_atom_site_fract_x
_atom_site_fract_y
_atom_site_fract_z
Nd1 Nd 0.2200 0.0000 0.2098
Nd2 Nd 0.2430 0.3250 0.2087
Si1 Si 0.0000 0.5000 0.0000
Ru1 Ru 0.0000 0.1665 0.0000
Cl1 Cl 0.0000 0.0000 0.5000
Cl2 Cl 0.0000 0.3353 0.5000
```

Properties
Raw formation energy (eV per formula unit): -11.41

=====

Entry 19:
First-principles (PBE) data for a relaxed Nd4Te2RuCl crystal, as listed in the Alexandria database.

```
data_Nd4Te2RuCl
_cell_length_a 7.5494
_cell_length_b 4.2360
_cell_length_c 7.7475
_cell_angle_alpha 90.00
_cell_angle_beta 107.34
_cell_angle_gamma 90.00
_space_group_name_H-M_alt 'P 1 2/m 1'
_space_group_IT_number 10
loop_
_space_group_symop_operation_xyz
'x,y,z'
'-x,-y,-z'
'-x,y,-z'
'x,-y,z'
loop_
_atom_site_label
_atom_site_type_symbol
_atom_site_fract_x
_atom_site_fract_y
_atom_site_fract_z
Nd1 Nd 0.2175 0.0000 0.2116
Nd2 Nd 0.2317 0.5000 0.7749
Te1 Te 0.0000 0.0000 0.5000
Te2 Te 0.5000 0.5000 0.5000
Ru1 Ru 0.0000 0.5000 0.0000
Cl1 Cl 0.5000 0.0000 0.0000
```

Properties
Raw formation energy (eV per formula unit): -8.82

=====

Entry 20:
First-principles (PBE) data for a relaxed NdThRuCl crystal, as listed in the Alexandria database.

```
data_NdThRuCl
_cell_length_a 4.0569
_cell_length_b 4.0569
_cell_length_c 23.4534
_cell_angle_alpha 90.00
_cell_angle_beta 90.00
_cell_angle_gamma 120.00
_space_group_name_H-M_alt 'R 3 m'
_space_group_IT_number 160
_space_group_name_Hall 'R 3 -2"'
loop_
_atom_site_label
_atom_site_type_symbol
_atom_site_fract_x
_atom_site_fract_y
_atom_site_fract_z
Nd1 Nd 0.0000 0.0000 0.0000
Th1 Th 0.0000 0.0000 0.2017
Ru1 Ru 0.0000 0.0000 0.5933
Cl1 Cl 0.0000 0.0000 0.7646
```

Properties
Raw formation energy (eV per formula unit): -3.76